# 1
Below is Pr4SmHo2Sc after structural relaxation, with properties calculated at the PBE level.

Properties
- Volume: 33.04 Å³/atom
- Theoretical density: 6.840 g/cm3
- Calculated formation energy: 0.78 eV/f.u.
- DOS(E_F): 13.6 states/eV/cell

abc: 5.8924 5.8768 7.6337
angles: 90.00 90.04 90.00
With the nearest neighbours (Å) after each atom.
Positions (direct):
1 Pr 0.0000 0.0000 0.2369  2 Sc 3.45, 4 Ho 3.46-3.56, 2 Sm 3.56-3.57, 1 Pr 3.62
2 Pr 0.0000 0.0000 0.7631  2 Sc 3.45, 4 Ho 3.46-3.56, 2 Sm 3.56-3.57, 1 Pr 3.62
3 Pr 0.4994 0.5000 0.7621  4 Ho 3.45-3.57, 2 Sc 3.46, 2 Sm 3.55, 1 Pr 3.63
4 Pr 0.5006 0.5000 0.2379  4 Ho 3.45-3.57, 2 Sc 3.46, 2 Sm 3.55, 1 Pr 3.63
5 Sm 0.5000 0.0000 0.5000  8 Pr 3.55-3.57, 2 Ho 3.82
6 Ho 0.0000 0.5000 0.5000  8 Pr 3.56-3.57, 2 Sc 3.82
7 Ho 0.5000 0.0000 0.0000  8 Pr 3.45-3.46, 2 Sm 3.82
8 Sc 0.0000 0.5000 0.0000  8 Pr 3.45-3.46, 2 Ho 3.82

# 2
Below is PrSmHoSc after structural relaxation, with properties calculated at the PBE level.

Properties
- Volume: 31.51 Å³/atom
- Theoretical density: 6.602 g/cm3
- Calculated formation energy: 0.41 eV/f.u.
- DOS(E_F): 6.9 states/eV/cell

abc: 6.7446 6.7446 3.8066
angles: 106.32 106.32 49.97
With the nearest neighbours (Å) after each atom.
Positions (direct):
1 Pr 0.0000 0.0000 0.0000  2 Sc 3.30-3.32, 4 Ho 3.45-3.46
2 Sm 0.2756 0.2756 0.7843  4 Sc 3.42-3.44, 2 Ho 3.61-3.63, 2 Pr 3.71-3.75, 2 Sm 3.81
3 Ho 0.5403 0.5403 0.5418  2 Sc 3.24-3.26, 4 Pr 3.45-3.46, 2 Sm 3.61-3.63
4 Sc 0.7669 0.7669 0.2709  2 Ho 3.24-3.26, 2 Pr 3.30-3.32, 4 Sm 3.42-3.44

# 3
Below is Pr2Sm3Ho6Sc after structural relaxation, with properties calculated at the PBE level.

Properties
- Volume: 31.84 Å³/atom
- Theoretical density: 7.680 g/cm3
- Calculated formation energy: 0.30 eV/f.u.
- DOS(E_F): 14.9 states/eV/cell

abc: 6.1648 6.1648 11.7895
angles: 94.99 94.99 120.00
With the nearest neighbours (Å) after each atom.
Positions (direct):
1 Pr 0.1662 0.8338 0.0000  3 Pr 3.55-3.56, 6 Ho 3.55, 3 Sc 3.56
2 Pr 0.8338 0.1662 0.0000  3 Pr 3.55-3.56, 6 Ho 3.55, 3 Sc 3.56
3 Sm 0.0000 0.0000 0.5000  6 Sm 3.56, 6 Ho 3.56-3.57
4 Sm 0.3333 0.6667 0.5000  6 Ho 3.56-3.58, 6 Sm 3.56
5 Sm 0.6667 0.3333 0.5000  6 Ho 3.56-3.58, 6 Sm 3.56
6 Ho 0.0875 0.4176 0.7511  6 Ho 3.52-3.58, 1 Sc 3.53, 2 Pr 3.55, 3 Sm 3.56-3.58
7 Ho 0.2524 0.2524 0.2495  6 Ho 3.53-3.58, 1 Sc 3.54, 2 Pr 3.55, 3 Sm 3.56-3.57
8 Ho 0.4176 0.0875 0.7511  6 Ho 3.52-3.58, 1 Sc 3.53, 2 Pr 3.55, 3 Sm 3.56-3.58
9 Ho 0.5824 0.9125 0.2489  6 Ho 3.52-3.58, 1 Sc 3.53, 2 Pr 3.55, 3 Sm 3.56-3.58
10 Ho 0.7476 0.7476 0.7505  6 Ho 3.53-3.58, 1 Sc 3.54, 2 Pr 3.55, 3 Sm 3.56-3.57
11 Ho 0.9125 0.5824 0.2489  6 Ho 3.52-3.58, 1 Sc 3.53, 2 Pr 3.55, 3 Sm 3.56-3.58
12 Sc 0.5000 0.5000 0.0000  6 Ho 3.53-3.54, 6 Pr 3.56